A geometry-optimized CaZrTl2 structure, computed with GGA-PBEsol.

Computed properties:
magnetic moment = 0.00 Bohr magnetons per cell
space group = P4/mmm, No. 123
D(E_F) = 2.503 states/eV/f.u.
E = -17.60 eV for the cell shown
E_form = -0.28 eV per atom

a = 3.305 Å, b = 3.305 Å, c = 8.748 Å
α = 90.00°, β = 90.00°, γ = 90.00°
Fractional positions:
Ca  0.000  0.000  0.000
Zr  0.000  0.000  0.500
Tl  0.500  0.500  0.262
Tl  0.500  0.500  0.738